KDyVO4: relaxed, PBE with a Hubbard U.

Output
Uncorrected energy (eV per formula unit): -50.2
Space-group type: P2_1/m, No. 11
Mass density (g/cm³): 4.257
Total magnetic moment (μB per cell): 2.00

Unit cell a=5.939 b=5.931 c=7.363 alpha=90.00 beta=107.77 gamma=90.00
Site moments in Bohr magnetons follow the coordinates.
Sites, in units of the cell vectors:
K  0.714  0.750  0.940  0.00
K  0.286  0.250  0.060  0.00
Dy  0.821  0.750  0.460  0.02
Dy  0.179  0.250  0.540  0.02
V  0.286  0.750  0.344  0.97
V  0.714  0.250  0.656  0.97
O  0.950  0.474  0.674  0.01
O  0.050  0.974  0.326  0.01
O  0.050  0.526  0.326  0.01
O  0.950  0.026  0.674  0.01
O  0.471  0.750  0.194  -0.03
O  0.529  0.250  0.806  -0.03
O  0.482  0.750  0.575  -0.04
O  0.518  0.250  0.425  -0.04